LiPrHgTe3, optimized geometry, DFT PBE; total moment = 0.00 μB/f.u.; space group = No. 63; energy above the lowest structure with this stoichiometry = 0 meV per atom
1.0
2.198 -7.443 0.000
2.198 7.443 0.000
0.000 0.000 11.793
Li Pr Hg Te
2 2 2 6
Direct
0.191 0.809 0.750
0.809 0.191 0.250
0.000 0.000 0.000
0.000 0.000 0.500
0.480 0.520 0.250
0.520 0.480 0.750
0.103 0.897 0.250
0.352 0.648 0.069
0.352 0.648 0.431
0.648 0.352 0.569
0.648 0.352 0.931
0.897 0.103 0.750